Entry 1:
The following is a PBE calculation of a relaxed NpGe3Te6 crystal, from Alexandria via LeMat-Bulk.

Summary:
- Calculated total energy: -95.071 eV/cell
- SG: P2_1/m (11)
- D(E_F): 13.2 states/eV/f.u.
- Calculated density: 6.72 g/cm3

Geometry as extended XYZ:
```
20
Lattice="12.584 0.000 0.000 0.000 4.085 0.000 -4.719 0.000 11.743" Properties=species:S:1:pos:R:3 pbc="T T T"
Np 2.384 1.021 0.570
Np 5.482 3.064 11.173
Ge -0.673 3.064 3.610
Ge 2.187 1.021 5.580
Ge 0.700 3.064 9.749
Ge 7.166 1.021 1.994
Ge 5.679 3.064 6.163
Ge 8.539 1.021 8.133
Te -3.903 3.064 10.571
Te -0.608 1.021 5.521
Te -1.107 1.021 9.297
Te 2.011 3.064 2.920
Te 4.734 3.064 0.748
Te 2.551 3.064 7.444
Te 5.314 1.021 4.299
Te 3.131 1.021 10.995
Te 5.854 1.021 8.823
Te 8.972 3.064 2.446
Te 8.473 3.064 6.222
Te 11.768 1.021 1.172
```

Entry 2:
The following is a PBE calculation of a relaxed NpGeTe crystal, from Alexandria via LeMat-Bulk.

Summary:
- Calculated total energy: -42.632 eV/cell
- SG: Cmcm (63)
- D(E_F): 3.5 states/eV/f.u.
- Calculated density: 9.54 g/cm3

Geometry as extended XYZ:
```
6
Lattice="2.377 -8.849 0.000 2.377 8.849 0.000 0.000 0.000 3.617" Properties=species:S:1:pos:R:3 pbc="T T T"
Np 2.377 8.023 2.713
Np 2.377 -8.023 0.904
Ge 2.377 1.086 2.713
Ge 2.377 -1.086 0.904
Te 2.377 5.638 0.904
Te 2.377 -5.638 2.713
```